Compound: TmPaIrPd
Source: the Alexandria database
Functional: GGA-PBE
Structure: optimized geometry

total magnetization = 0.0010 μB per atom
formation energy from the elements = -16.13 kcal/mol of atoms
SG = No. 216
density = 13.957 g cm⁻³

a = 4.8986 Å, b = 4.8986 Å, c = 4.8986 Å
α = 60.00°, β = 60.00°, γ = 60.00°
Closest atoms and distances in Å follow each position.
Fractional positions:
Tm (0.0000, 0.0000, 0.0000)  4 Ir 3.00, 4 Pd 3.00
Pa (0.5000, 0.5000, 0.5000)  4 Ir 3.00, 4 Pd 3.00
Ir (0.7500, 0.7500, 0.7500)  4 Pa 3.00, 4 Tm 3.00
Pd (0.2500, 0.2500, 0.2500)  4 Pa 3.00, 4 Tm 3.00